# Co6Te5O16 GGA+U relaxed
# DOS at the Fermi energy, states/eV/atom: 0.000
# Total energy, eV/atom: -5.72
# Total moment, μB/cell: 71.57
data_Co6Te5O16
_cell_length_a 10.417
_cell_length_b 11.235
_cell_length_c 13.020
_cell_angle_alpha 90.00
_cell_angle_beta 90.00
_cell_angle_gamma 90.00
_symmetry_space_group_name_H-M 'P 1'
_symmetry_Int_Tables_number 1
loop_
_symmetry_equiv_pos_as_xyz
'x,y,z'
loop_
_atom_site_label
_atom_site_fract_x
_atom_site_fract_y
_atom_site_fract_z
Co1 0.933 0.248 0.006
Co2 0.433 0.752 0.994
Co3 0.410 0.250 0.770
Co4 0.573 0.985 0.893
Co5 0.090 0.250 0.770
Co6 0.590 0.250 0.270
Co7 0.073 0.015 0.107
Co8 0.410 0.750 0.730
Co9 0.433 0.252 0.506
Co10 0.090 0.750 0.730
Co11 0.933 0.748 0.494
Co12 0.073 0.515 0.393
Co13 0.567 0.748 0.494
Co14 0.067 0.252 0.506
Co15 0.927 0.485 0.607
Co16 0.427 0.015 0.107
Co17 0.067 0.752 0.994
Co18 0.910 0.750 0.230
Co19 0.573 0.485 0.607
Co20 0.567 0.248 0.006
Co21 0.590 0.750 0.230
Co22 0.910 0.250 0.270
Co23 0.427 0.515 0.393
Co24 0.927 0.985 0.893
Te1 0.750 0.221 0.507
Te2 0.750 0.534 0.362
Te3 0.038 0.990 0.365
Te4 0.250 0.779 0.493
Te5 0.538 0.010 0.635
Te6 0.462 0.990 0.365
Te7 0.038 0.490 0.135
Te8 0.538 0.510 0.865
Te9 0.250 0.800 0.185
Te10 0.750 0.034 0.138
Te11 0.250 0.279 0.007
Te12 0.250 0.300 0.315
Te13 0.750 0.700 0.685
Te14 0.962 0.510 0.865
Te15 0.250 0.466 0.638
Te16 0.250 0.966 0.862
Te17 0.962 0.010 0.635
Te18 0.750 0.721 0.993
Te19 0.750 0.200 0.815
Te20 0.462 0.490 0.135
O1 0.056 0.325 0.349
O2 0.889 0.061 0.042
O3 0.610 0.814 0.942
O4 0.444 0.325 0.349
O5 0.482 0.925 0.756
O6 0.111 0.439 0.542
O7 0.390 0.686 0.442
O8 0.045 0.898 0.546
O9 0.750 0.781 0.554
O10 0.944 0.675 0.651
O11 0.889 0.561 0.458
O12 0.418 0.638 0.859
O13 0.444 0.825 0.151
O14 0.518 0.075 0.244
O15 0.890 0.814 0.942
O16 0.389 0.439 0.542
O17 0.250 0.971 0.166
O18 0.750 0.281 0.369
O19 0.556 0.175 0.849
O20 0.750 0.692 0.313
O21 0.455 0.398 0.954
O22 0.982 0.575 0.256
O23 0.390 0.186 0.058
O24 0.611 0.061 0.042
O25 0.582 0.862 0.359
O26 0.045 0.398 0.954
O27 0.250 0.308 0.687
O28 0.250 0.808 0.813
O29 0.250 0.219 0.446
O30 0.250 0.219 0.869
O31 0.111 0.939 0.958
O32 0.389 0.939 0.958
O33 0.750 0.781 0.131
O34 0.955 0.102 0.454
O35 0.545 0.602 0.046
O36 0.918 0.362 0.141
O37 0.018 0.925 0.756
O38 0.418 0.138 0.641
O39 0.611 0.561 0.458
O40 0.750 0.192 0.187
O41 0.056 0.825 0.151
O42 0.556 0.675 0.651
O43 0.082 0.138 0.641
O44 0.982 0.075 0.244
O45 0.455 0.898 0.546
O46 0.610 0.314 0.558
O47 0.750 0.029 0.834
O48 0.250 0.471 0.334
O49 0.250 0.719 0.054
O50 0.890 0.314 0.558
O51 0.750 0.529 0.666
O52 0.750 0.281 0.946
O53 0.110 0.186 0.058
O54 0.082 0.638 0.859
O55 0.018 0.425 0.744
O56 0.545 0.102 0.454
O57 0.110 0.686 0.442
O58 0.482 0.425 0.744
O59 0.250 0.719 0.631
O60 0.918 0.862 0.359
O61 0.944 0.175 0.849
O62 0.518 0.575 0.256
O63 0.582 0.362 0.141
O64 0.955 0.602 0.046